# 1
The following is a DFT calculation (GGA-PBE) of ThIn4 after structural relaxation.

**Energy above the lowest structure with this stoichiometry**: 0 meV per atom
**Energy relative to the elements**: -102 kJ/mol of formula units
**SG**: Imma, No. 74
**Total moment**: 0.00 μB per formula unit

abc: 4.9703 6.7632 8.9076
angles: 112.31 106.20 90.00
With the nearest neighbours (Å) after each atom.
Fractional coordinates of all 10 atoms:
Th 0.8971 0.1471 0.7942  13 In 3.33-3.58
Th 0.1029 0.8529 0.2058  13 In 3.33-3.58
In 0.1089 0.3589 0.2178  10 In 3.28-3.46, 3 Th 3.33-3.38
In 0.8911 0.6411 0.7822  10 In 3.28-3.46, 3 Th 3.33-3.38
In 0.5000 0.0000 0.0000  8 In 3.12-3.46, 4 Th 3.41
In 0.5000 0.5000 0.0000  8 In 3.12-3.46, 4 Th 3.41
In 0.6988 0.2095 0.3976  6 In 2.96-3.28
In 0.3012 0.7905 0.6024  6 In 2.96-3.28
In 0.3012 0.3120 0.6024  6 In 2.96-3.28
In 0.6988 0.6880 0.3976  6 In 2.96-3.28



# 2
The following is a DFT calculation (GGA-PBE) of ThIn4 after structural relaxation.

**Energy above the lowest structure with this stoichiometry**: 940 meV per atom
**Energy relative to the elements**: 351 kJ/mol of formula units
**SG**: Pm-3m, No. 221
**Total moment**: 0.00 μB per formula unit

abc: 6.1021 6.1021 6.1021
angles: 90.00 90.00 90.00
With the nearest neighbours (Å) after each atom.
Fractional coordinates of all 5 atoms:
Th 0.5000 0.5000 0.5000  6 In 3.05
In 0.0000 0.0000 0.0000  12 In 4.31
In 0.5000 0.0000 0.5000  2 Th 3.05
In 0.0000 0.5000 0.5000  2 Th 3.05
In 0.5000 0.5000 0.0000  2 Th 3.05



# 3
The following is a DFT calculation (GGA-PBE) of Th5In after structural relaxation.

**Energy relative to the elements**: -38 kJ/mol of formula units
**SG**: Cmmm, No. 65
**Total moment**: 0.00 μB per formula unit

abc: 4.9100 4.9532 8.0841
angles: 107.84 90.00 90.00
With the nearest neighbours (Å) after each atom.
Fractional coordinates of all 6 atoms:
Th 0.0000 0.6629 0.3258  10 Th 3.49-3.65, 2 In 3.52
Th 0.0000 0.3371 0.6742  10 Th 3.49-3.65, 2 In 3.52
Th 0.5000 0.5000 0.0000  4 In 3.49, 8 Th 3.51-3.54
Th 0.5000 0.1644 0.3288  10 Th 3.49-3.62, 2 In 3.53
Th 0.5000 0.8356 0.6712  10 Th 3.49-3.62, 2 In 3.53
In 0.0000 0.0000 0.0000  12 Th 3.49-3.53



# 4
The following is a DFT calculation (GGA-PBE) of Th2In3 after structural relaxation.

**Energy relative to the elements**: -79 kJ/mol of formula units
**SG**: R-3m, No. 166
**Total moment**: 0.00 μB per formula unit

abc: 4.8950 4.8950 7.7067
angles: 71.48 71.48 60.00
With the nearest neighbours (Å) after each atom.
Fractional coordinates of all 5 atoms:
Th 0.4035 0.4035 0.7895  6 In 3.20-3.37
Th 0.5965 0.5965 0.2105  6 In 3.20-3.37
In 0.0000 0.0000 0.0000  6 Th 3.20, 2 In 3.34
In 0.8448 0.8448 0.4655  3 In 2.87
In 0.1552 0.1552 0.5345  3 In 2.87



# 5
The following is a DFT calculation (GGA-PBE) of Th4In3 after structural relaxation.

**Energy relative to the elements**: -41 kJ/mol of formula units
**SG**: I4/mmm, No. 139
**Total moment**: 0.00 μB per formula unit

abc: 4.2087 4.2087 12.2032
angles: 99.93 99.93 90.00
With the nearest neighbours (Å) after each atom.
Fractional coordinates of all 7 atoms:
Th 0.1464 0.1464 0.2929  6 In 3.28-3.47, 4 Th 3.48
Th 0.4300 0.4300 0.8600  5 Th 3.31-3.48, 5 In 3.41-3.43
Th 0.5700 0.5700 0.1400  5 Th 3.31-3.48, 5 In 3.41-3.43
Th 0.8536 0.8536 0.7071  6 In 3.28-3.47, 4 Th 3.48
In 0.0000 0.0000 0.0000  10 Th 3.41-3.47
In 0.2849 0.2849 0.5698  6 Th 3.28-3.43, 4 In 3.40
In 0.7151 0.7151 0.4302  6 Th 3.28-3.43, 4 In 3.40



# 6
The following is a DFT calculation (GGA-PBE) of ThIn6 after structural relaxation.

**Energy relative to the elements**: 397 kJ/mol of formula units
**SG**: Im-3m, No. 229
**Total moment**: 0.03 μB per formula unit

abc: 6.7818 6.7818 6.7818
angles: 109.47 109.47 109.47
With the nearest neighbours (Å) after each atom.
Fractional coordinates of all 7 atoms:
Th 0.0000 0.0000 0.0000  24 In 4.38
In 0.2500 0.7500 0.5000  4 In 2.77
In 0.5000 0.7500 0.2500  4 In 2.77
In 0.2500 0.5000 0.7500  4 In 2.77
In 0.7500 0.2500 0.5000  4 In 2.77
In 0.5000 0.2500 0.7500  4 In 2.77
In 0.7500 0.5000 0.2500  4 In 2.77



# 7
The following is a DFT calculation (GGA-PBE) of ThTiIn2 after structural relaxation.

**Energy above the lowest structure with this stoichiometry**: 49 meV per atom
**Energy relative to the elements**: -39 kJ/mol of formula units
**SG**: P4/mmm, No. 123
**Total moment**: 0.00 μB per formula unit

abc: 4.7444 4.5428 4.5428
angles: 90.00 90.00 90.00
With the nearest neighbours (Å) after each atom.
Fractional coordinates of all 4 atoms:
Ti 0.5000 0.0000 0.0000  4 Th 3.21, 8 In 3.28
Th 0.5000 0.5000 0.5000  4 Ti 3.21, 8 In 3.28
In 0.0000 0.0000 0.5000  4 In 3.21, 4 Th 3.28, 4 Ti 3.28
In 0.0000 0.5000 0.0000  4 In 3.21, 4 Th 3.28, 4 Ti 3.28



# 8
The following is a DFT calculation (GGA-PBE) of Th2TiIn after structural relaxation.

**Energy above the lowest structure with this stoichiometry**: 81 meV per atom
**Energy relative to the elements**: 18 kJ/mol of formula units
**SG**: P4/mmm, No. 123
**Total moment**: 1.66 μB per formula unit

abc: 3.8164 3.8164 7.6177
angles: 90.00 90.00 90.00
With the nearest neighbours (Å) after each atom.
Fractional coordinates of all 4 atoms:
Ti 0.5000 0.5000 0.0000  8 Th 3.24
Th 0.0000 0.0000 0.7647  4 Ti 3.24, 4 In 3.37, 1 Th 3.59
Th 0.0000 0.0000 0.2353  4 Ti 3.24, 4 In 3.37, 1 Th 3.59
In 0.5000 0.5000 0.5000  8 Th 3.37



# 9
The following is a DFT calculation (GGA-PBE) of ThTiIn2 after structural relaxation.

**Energy above the lowest structure with this stoichiometry**: 126 meV per atom
**Energy relative to the elements**: -10 kJ/mol of formula units
**SG**: R-3m, No. 166
**Total moment**: 0.00 μB per formula unit

abc: 4.7039 4.7039 6.0535
angles: 67.14 67.14 60.00
With the nearest neighbours (Å) after each atom.
Fractional coordinates of all 4 atoms:
Ti 0.0000 0.0000 0.0000  6 In 2.87
Th 0.5000 0.5000 0.5000  8 In 3.25-3.63
In 0.2765 0.2765 0.1706  3 Ti 2.87
In 0.7235 0.7235 0.8294  3 Ti 2.87



# 10
The following is a DFT calculation (GGA-PBE) of ThTiIn2 after structural relaxation.

**Energy above the lowest structure with this stoichiometry**: 0 meV per atom
**Energy relative to the elements**: -58 kJ/mol of formula units
**SG**: P4/mmm, No. 123
**Total moment**: 0.00 μB per formula unit

abc: 3.3190 3.3190 8.5826
angles: 90.00 90.00 90.00
With the nearest neighbours (Å) after each atom.
Fractional coordinates of all 4 atoms:
Ti 0.5000 0.5000 0.0000  8 In 2.98, 4 Ti 3.32
Th 0.5000 0.5000 0.5000  4 Th 3.32, 8 In 3.39
In 0.0000 0.0000 0.7852  4 Ti 2.98, 4 In 3.32
In 0.0000 0.0000 0.2148  4 Ti 2.98, 4 In 3.32



# 11
The following is a DFT calculation (GGA-PBE) of Th2TiIn after structural relaxation.

**Energy above the lowest structure with this stoichiometry**: 352 meV per atom
**Energy relative to the elements**: 123 kJ/mol of formula units
**SG**: R-3m, No. 166
**Total moment**: 1.13 μB per formula unit

abc: 3.3029 3.3029 11.7498
angles: 81.92 81.92 60.00
With the nearest neighbours (Å) after each atom.
Fractional coordinates of all 4 atoms:
Ti 0.0000 0.0000 0.0000  2 Th 2.94
Th 0.0844 0.0844 0.7467  1 Ti 2.94
Th 0.9156 0.9156 0.2533  1 Ti 2.94
In 0.5000 0.5000 0.5000  6 In 3.30, 6 Th 3.44



# 12
The following is a DFT calculation (GGA-PBE) of Th2TiIn after structural relaxation.

**Energy above the lowest structure with this stoichiometry**: 112 meV per atom
**Energy relative to the elements**: 30 kJ/mol of formula units
**SG**: Fm-3m, No. 225
**Total moment**: 2.22 μB per formula unit

abc: 5.3911 5.3911 5.3911
angles: 60.00 60.00 60.00
With the nearest neighbours (Å) after each atom.
Fractional coordinates of all 4 atoms:
Ti 0.5000 0.5000 0.5000  8 Th 3.30
Th 0.2500 0.2500 0.2500  4 Ti 3.30, 4 In 3.30
Th 0.7500 0.7500 0.7500  4 In 3.30, 4 Ti 3.30
In 0.0000 0.0000 0.0000  8 Th 3.30



# 13
The following is a DFT calculation (GGA-PBE) of ThTiIn after structural relaxation.

**Energy relative to the elements**: 3 kJ/mol of formula units
**SG**: P2_1/c, No. 14
**Total moment**: 0.90 μB per formula unit

abc: 6.5690 7.8355 8.3822
angles: 43.72 90.00 90.00
With the nearest neighbours (Å) after each atom.
Fractional coordinates of all 12 atoms:
In 0.8782 0.7105 0.9774  3 Ti 2.89-3.03
In 0.3782 0.7895 0.5226  3 Ti 2.89-3.03
In 0.1218 0.2895 0.0226  3 Ti 2.89-3.03
In 0.6218 0.2105 0.4774  3 Ti 2.89-3.03
Th 0.8817 0.7643 0.5486  3 Ti 3.01-3.30, 4 In 3.27-3.31
Th 0.3817 0.7357 0.9514  3 Ti 3.01-3.30, 4 In 3.27-3.31
Th 0.1183 0.2357 0.4514  3 Ti 3.01-3.30, 4 In 3.27-3.31
Th 0.6183 0.2643 0.0486  3 Ti 3.01-3.30, 4 In 3.27-3.31
Ti 0.6376 0.6935 0.2967  3 In 2.89-3.03, 2 Th 3.01-3.15, 1 Ti 3.02
Ti 0.1376 0.8065 0.2034  3 In 2.89-3.03, 2 Th 3.01-3.15, 1 Ti 3.02
Ti 0.3624 0.3065 0.7034  3 In 2.89-3.03, 2 Th 3.01-3.15, 1 Ti 3.02
Ti 0.8624 0.1935 0.7966  3 In 2.89-3.03, 2 Th 3.01-3.15, 1 Ti 3.02



# 14
The following is a DFT calculation (GGA-PBE) of Th2TiIn after structural relaxation.

**Energy above the lowest structure with this stoichiometry**: 0 meV per atom
**Energy relative to the elements**: -13 kJ/mol of formula units
**SG**: P4/mmm, No. 123
**Total moment**: 0.00 μB per formula unit

abc: 4.7268 4.7247 4.7247
angles: 90.00 90.00 90.00
With the nearest neighbours (Å) after each atom.
Fractional coordinates of all 4 atoms:
Ti 0.5000 0.5000 0.5000  4 In 3.34, 8 Th 3.34
Th 0.0000 0.0000 0.5000  4 Th 3.34, 4 In 3.34, 4 Ti 3.34
Th 0.0000 0.5000 0.0000  4 Th 3.34, 4 In 3.34, 4 Ti 3.34
In 0.5000 0.0000 0.0000  4 Ti 3.34, 8 Th 3.34



# 15
The following is a DFT calculation (GGA-PBE) of ThTi4In after structural relaxation.

**Energy relative to the elements**: 67 kJ/mol of formula units
**SG**: F-43m, No. 216
**Total moment**: 0.00 μB per formula unit

abc: 5.5990 5.5990 5.5990
angles: 60.00 60.00 60.00
With the nearest neighbours (Å) after each atom.
Fractional coordinates of all 6 atoms:
Ti 0.6229 0.6229 0.1312  6 Ti 2.75-2.85
Ti 0.6229 0.1312 0.6229  6 Ti 2.75-2.85
Ti 0.6229 0.6229 0.6229  6 Ti 2.75-2.85
Ti 0.1312 0.6229 0.6229  6 Ti 2.75-2.85
Th 0.2500 0.2500 0.2500  12 Ti 3.28, 4 In 3.43
In 0.0000 0.0000 0.0000  12 Ti 3.29, 4 Th 3.43



# 16
The following is a DFT calculation (GGA-PBE) of ThTiIn after structural relaxation.

**Energy relative to the elements**: 18 kJ/mol of formula units
**SG**: P3m1, No. 156
**Total moment**: 0.01 μB per formula unit

abc: 3.4005 5.0557 5.0557
angles: 120.00 90.00 90.00
With the nearest neighbours (Å) after each atom.
Fractional coordinates of all 3 atoms:
Ti 0.1659 0.3333 0.6667  3 In 2.92
Th 0.6666 0.6667 0.3333  6 In 3.38, 6 Ti 3.38, 2 Th 3.40
In 0.1676 0.0000 0.0000  3 Ti 2.92



# 17
The following is a DFT calculation (GGA-PBE) of YThTiIn after structural relaxation.

**Energy relative to the elements**: -4 kJ/mol of formula units
**SG**: F-43m, No. 216
**Total moment**: 2.83 μB per formula unit

abc: 5.3418 5.3418 5.3418
angles: 60.00 60.00 60.00
With the nearest neighbours (Å) after each atom.
Fractional coordinates of all 4 atoms:
Y 0.5000 0.5000 0.5000  4 In 3.27, 4 Ti 3.27
Ti 0.2500 0.2500 0.2500  4 Th 3.27, 4 Y 3.27
Th 0.0000 0.0000 0.0000  4 In 3.27, 4 Ti 3.27
In 0.7500 0.7500 0.7500  4 Th 3.27, 4 Y 3.27



# 18
The following is a DFT calculation (GGA-PBE) of Th15Tl4In after structural relaxation.

**Energy relative to the elements**: -161 kJ/mol of formula units
**SG**: P4/mmm, No. 123
**Total moment**: 0.00 μB per formula unit

abc: 4.9637 4.9637 24.7649
angles: 90.00 90.00 90.00
With the nearest neighbours (Å) after each atom.
Fractional coordinates of all 20 atoms:
Th 0.5000 0.5000 0.0000  8 Th 3.50, 4 In 3.51
Th 0.5000 0.5000 0.1997  8 Th 3.51, 4 Tl 3.51
Th 0.5000 0.5000 0.3999  8 Th 3.51, 4 Tl 3.51
Th 0.5000 0.5000 0.6001  8 Th 3.51, 4 Tl 3.51
Th 0.5000 0.5000 0.8003  8 Th 3.51, 4 Tl 3.51
Th 0.5000 0.0000 0.0994  2 In 3.50, 8 Th 3.50-3.51, 2 Tl 3.52
Th 0.5000 0.0000 0.2999  4 Tl 3.51, 8 Th 3.51
Th 0.5000 0.0000 0.5000  4 Tl 3.51, 8 Th 3.51
Th 0.5000 0.0000 0.7001  4 Tl 3.51, 8 Th 3.51
Th 0.5000 0.0000 0.9006  8 Th 3.50-3.51, 2 In 3.50, 2 Tl 3.52
Th 0.0000 0.5000 0.0994  2 In 3.50, 8 Th 3.50-3.51, 2 Tl 3.52
Th 0.0000 0.5000 0.2999  4 Tl 3.51, 8 Th 3.51
Th 0.0000 0.5000 0.5000  4 Tl 3.51, 8 Th 3.51
Th 0.0000 0.5000 0.7001  4 Tl 3.51, 8 Th 3.51
Th 0.0000 0.5000 0.9006  8 Th 3.50-3.51, 2 In 3.50, 2 Tl 3.52
Tl 0.0000 0.0000 0.1999  12 Th 3.51-3.52
Tl 0.0000 0.0000 0.4000  12 Th 3.51
Tl 0.0000 0.0000 0.6000  12 Th 3.51
Tl 0.0000 0.0000 0.8001  12 Th 3.51-3.52
In 0.0000 0.0000 0.0000  12 Th 3.50-3.51



# 19
The following is a DFT calculation (GGA-PBE) of Th2TlIn3 after structural relaxation.

**Energy relative to the elements**: -113 kJ/mol of formula units
**SG**: Pmm2, No. 25
**Total moment**: 0.00 μB per formula unit

abc: 5.1687 3.5749 8.9208
angles: 90.00 90.00 90.00
With the nearest neighbours (Å) after each atom.
Fractional coordinates of all 6 atoms:
Th 0.5000 0.0000 0.0023  10 In 3.43-3.47, 2 Tl 3.49, 2 Th 3.57
Th 0.0000 0.0000 0.4974  8 In 3.45-3.52, 4 Tl 3.48, 2 Th 3.57
Tl 0.5000 0.5000 0.6658  3 In 2.99-3.00
In 0.0000 0.5000 0.1670  3 In 2.95-2.97
In 0.0000 0.5000 0.8368  1 In 2.95, 2 Tl 3.00
In 0.5000 0.5000 0.3307  2 In 2.97, 1 Tl 2.99



# 20
The following is a DFT calculation (GGA-PBE) of ThTlIn after structural relaxation.

**Energy above the lowest structure with this stoichiometry**: 53 meV per atom
**Energy relative to the elements**: -23 kJ/mol of formula units
**SG**: I4mm, No. 107
**Total moment**: 0.00 μB per formula unit

abc: 3.6737 3.6737 6.8132
angles: 105.64 105.64 90.00
With the nearest neighbours (Å) after each atom.
Fractional coordinates of all 3 atoms:
Tl 0.9393 0.9393 0.8785  4 In 3.20, 4 Th 3.45
Th 0.6197 0.6197 0.2394  4 In 3.38, 4 Tl 3.45, 4 Th 3.67
In 0.2910 0.2910 0.5820  4 Tl 3.20, 4 Th 3.38